Here is Sr4InSi after structural relaxation from Alexandria. Energies are from PBE-GGA.

a b c (Å): 6.9182 6.9182 6.9182
angles (deg): 60.00 60.00 60.00
Atoms (fractional coordinates):
Sr: 0.1255 0.1255 0.1255
Sr: 0.1255 0.1255 0.6236
Sr: 0.1255 0.6236 0.1255
Sr: 0.6236 0.1255 0.1255
In: 0.7500 0.7500 0.7500
Si: 0.5000 0.5000 0.5000

Properties
- formation energy (no corrections) (kJ/mol of formula units) = 316.9
- calculated volume (Å³ per atom) = 39.0
- uncorrected energy (eV per cell) = -11.604
- N(E_F) (states/eV/atom) = 1.437
- energy above the most stable polymorph in this dataset (meV per atom) = 852